[1]
## ScAlSiAu2 (PBE-GGA)

Data for ScAlSiAu2 after structural relaxation.

Properties
Calculated total energy in eV/atom: -4.250
Space group: No. 123
N(E_F) in states/eV/atom: 0.467

Unit cell a=4.7786 b=4.7786 c=4.7433 alpha=90.00 beta=90.00 gamma=90.00
Closest atoms and distances in Å follow each position.
Element x y z (fractional)
Sc1 0.0000 0.0000 0.0000  8 Au 3.37, 4 Si 3.38
Al1 0.5000 0.5000 0.5000  2 Si 2.37, 4 Au 2.39
Si1 0.5000 0.5000 0.0000  2 Al 2.37
Au1 0.0000 0.5000 0.5000  2 Al 2.39
Au2 0.5000 0.0000 0.5000  2 Al 2.39


[2]
## SmSc2AlAu4 (PBE-GGA)

Data for SmSc2AlAu4 after structural relaxation.

Properties
Space group: No. 166
N(E_F) in states/eV/atom: 0.523
ΔH_f (0 K) in eV/atom: -0.725

Unit cell a=8.9212 b=8.9212 c=8.9212 alpha=30.69 beta=30.69 gamma=30.69
Closest atoms and distances in Å follow each position.
Element x y z (fractional)
Sm1 0.0000 0.0000 0.0000  8 Au 3.14-3.18
Sc1 0.2403 0.2403 0.2403  7 Au 2.84-2.94
Sc2 0.7597 0.7597 0.7597  7 Au 2.84-2.94
Al1 0.5000 0.5000 0.5000  8 Au 2.69-2.93
Au1 0.1250 0.1250 0.1250  4 Sc 2.84-2.94, 3 Al 2.93, 3 Au 3.17, 1 Sm 3.18
Au2 0.3945 0.3945 0.3945  1 Al 2.69, 3 Sc 2.84
Au3 0.6055 0.6055 0.6055  1 Al 2.69, 3 Sc 2.84
Au4 0.8750 0.8750 0.8750  4 Sc 2.84-2.94, 3 Al 2.93, 3 Au 3.17, 1 Sm 3.18


[3]
## Sm2ScAl4Au3 (PBE-GGA)

Data for Sm2ScAl4Au3 after structural relaxation.

Properties
Space group: No. 115
N(E_F) in states/eV/atom: 0.667
ΔH_f (0 K) in eV/atom: -0.650

Unit cell a=4.2680 b=4.2680 c=11.5426 alpha=90.00 beta=90.00 gamma=90.00
Closest atoms and distances in Å follow each position.
Element x y z (fractional)
Sm1 0.0000 0.5000 0.2400  8 Al 3.25-3.50, 4 Au 3.28
Sm2 0.5000 0.0000 0.7600  8 Al 3.25-3.50, 4 Au 3.28
Sc1 0.0000 0.0000 0.5000  4 Al 2.79, 4 Au 3.02
Al1 0.0000 0.0000 0.0000  4 Au 2.59
Al2 0.0000 0.5000 0.6552  3 Au 2.50-2.79, 2 Sc 2.79
Al3 0.5000 0.0000 0.3448  3 Au 2.50-2.79, 2 Sc 2.79
Al4 0.5000 0.5000 0.0000  4 Au 2.59
Au1 0.0000 0.5000 0.8721  5 Al 2.50-2.59
Au2 0.5000 0.0000 0.1279  5 Al 2.50-2.59
Au3 0.5000 0.5000 0.5000  4 Al 2.79, 4 Sc 3.02


[4]
## Sr2ScAl4Au3 (PBE-GGA)

Data for Sr2ScAl4Au3 after structural relaxation.

Properties
Space group: No. 115
N(E_F) in states/eV/atom: 0.851
ΔH_f (0 K) in eV/atom: -0.529

Unit cell a=4.3830 b=4.3830 c=11.7108 alpha=90.00 beta=90.00 gamma=90.00
Closest atoms and distances in Å follow each position.
Element x y z (fractional)
Sr1 0.0000 0.5000 0.2388  8 Al 3.35-3.55, 4 Au 3.38
Sr2 0.5000 0.0000 0.7612  8 Al 3.35-3.55, 4 Au 3.38
Sc1 0.0000 0.0000 0.5000  4 Al 2.83, 4 Au 3.10
Al1 0.0000 0.0000 0.0000  4 Au 2.63
Al2 0.0000 0.5000 0.6529  3 Au 2.61-2.83, 2 Sc 2.83
Al3 0.5000 0.0000 0.3471  3 Au 2.61-2.83, 2 Sc 2.83
Al4 0.5000 0.5000 0.0000  4 Au 2.63
Au1 0.0000 0.5000 0.8755  5 Al 2.61-2.63
Au2 0.5000 0.0000 0.1245  5 Al 2.61-2.63
Au3 0.5000 0.5000 0.5000  4 Al 2.83, 4 Sc 3.10


[5]
## TbScAl2Au4 (PBE-GGA)

Data for TbScAl2Au4 after structural relaxation.

Properties
Space group: No. 166
N(E_F) in states/eV/atom: 0.628
ΔH_f (0 K) in eV/atom: -0.706

Unit cell a=8.7036 b=8.7036 c=8.7036 alpha=30.81 beta=30.81 gamma=30.81
Closest atoms and distances in Å follow each position.
Element x y z (fractional)
Tb1 0.0000 0.0000 0.0000  8 Au 3.00-3.13
Sc1 0.5000 0.5000 0.5000  8 Au 2.78-2.86
Al1 0.2440 0.2440 0.2440  7 Au 2.80-2.94
Al2 0.7560 0.7560 0.7560  7 Au 2.80-2.94
Au1 0.1258 0.1258 0.1258  4 Al 2.82-2.94, 3 Sc 2.86, 1 Tb 3.13
Au2 0.3883 0.3883 0.3883  1 Sc 2.78, 3 Al 2.80, 3 Tb 3.00
Au3 0.6117 0.6117 0.6117  1 Sc 2.78, 3 Al 2.80, 3 Tb 3.00
Au4 0.8742 0.8742 0.8742  4 Al 2.82-2.94, 3 Sc 2.86, 1 Tb 3.13


[6]
## Tb2ScAl4Au3 (PBE-GGA)

Data for Tb2ScAl4Au3 after structural relaxation.

Properties
Space group: No. 115
N(E_F) in states/eV/atom: 0.549
ΔH_f (0 K) in eV/atom: -0.638

Unit cell a=4.2136 b=4.2136 c=11.6104 alpha=90.00 beta=90.00 gamma=90.00
Closest atoms and distances in Å follow each position.
Element x y z (fractional)
Tb1 0.0000 0.5000 0.2394  8 Al 3.22-3.49, 4 Au 3.24
Tb2 0.5000 0.0000 0.7606  8 Al 3.22-3.49, 4 Au 3.24
Sc1 0.0000 0.0000 0.5000  4 Al 2.77, 4 Au 2.98
Al1 0.0000 0.0000 0.0000  4 Au 2.59
Al2 0.0000 0.5000 0.6554  3 Au 2.49-2.77, 2 Sc 2.77
Al3 0.5000 0.0000 0.3446  3 Au 2.49-2.77, 2 Sc 2.77
Al4 0.5000 0.5000 0.0000  4 Au 2.59
Au1 0.0000 0.5000 0.8697  5 Al 2.49-2.59
Au2 0.5000 0.0000 0.1303  5 Al 2.49-2.59
Au3 0.5000 0.5000 0.5000  4 Al 2.77, 4 Sc 2.98